## Na3CrSiBO7 (PBE+U)

Data for crystalline Na3CrSiBO7 at its relaxed geometry.

Values from the calculation:
- DFT total energy (eV/atom) = -6.615

abc: 5.320 8.949 6.478
angles: 90.00 90.00 87.86
Sites, in units of the cell vectors:
Na  0.767  0.081  0.250
Na  0.233  0.919  0.750
Na  0.256  0.260  0.009
Na  0.256  0.260  0.491
Na  0.744  0.740  0.509
Na  0.744  0.740  0.991
Cr  0.212  0.667  0.250
Cr  0.788  0.333  0.750
Si  0.718  0.428  0.250
Si  0.282  0.572  0.750
B  0.725  0.066  0.750
B  0.275  0.934  0.250
O  0.320  0.079  0.250
O  0.680  0.921  0.750
O  0.962  0.131  0.750
O  0.038  0.869  0.250
O  0.535  0.183  0.750
O  0.465  0.817  0.250
O  0.417  0.476  0.250
O  0.583  0.524  0.750
O  0.108  0.425  0.750
O  0.892  0.575  0.250
O  0.786  0.320  0.050
O  0.786  0.320  0.450
O  0.214  0.680  0.550
O  0.214  0.680  0.950